# TbDy2Tm5Mg

A relaxed structure of TbDy2Tm5Mg (PBE, Alexandria via LeMat-Bulk).

DFT formation energy: 0.111 eV per atom

Cell lengths 5.354, 10.311, 10.324 Å; angles 90.00, 90.00, 105.05 degrees
Positions (direct):
Tb: 0.794 0.588 0.508
Tb: 0.206 0.412 0.008
Dy: 0.885 0.770 0.796
Dy: 0.115 0.230 0.721
Dy: 0.115 0.230 0.296
Dy: 0.885 0.770 0.221
Tm: 0.384 0.767 0.008
Tm: 0.711 0.421 0.807
Tm: 0.500 0.000 0.758
Tm: 0.290 0.579 0.709
Tm: 0.987 0.974 0.508
Tm: 0.616 0.233 0.508
Tm: 0.289 0.579 0.307
Tm: 0.500 0.000 0.258
Tm: 0.710 0.421 0.209
Tm: 0.013 0.026 0.008
Mg: 0.595 0.190 0.007
Mg: 0.405 0.810 0.507

# Sb2TeIrRu

A relaxed structure of Sb2TeIrRu (PBE, Alexandria via LeMat-Bulk).

E above lowest polymorph: 0.0 meV/atom

Cell lengths 4.975, 4.975, 5.098 Å; angles 90.00, 90.00, 90.00 degrees
Positions (direct):
Sb: 0.000 0.500 0.000
Sb: 0.500 0.000 0.000
Ir: 0.500 0.500 0.500
Te: 0.000 0.000 0.500
Ru: 0.000 0.000 0.000

Please write out number 1 again, unchanged.
# TbDy2Tm5Mg

A relaxed structure of TbDy2Tm5Mg (PBE, Alexandria via LeMat-Bulk).

DFT formation energy: 0.111 eV per atom

Cell lengths 5.354, 10.311, 10.324 Å; angles 90.00, 90.00, 105.05 degrees
Positions (direct):
Tb: 0.794 0.588 0.508
Tb: 0.206 0.412 0.008
Dy: 0.885 0.770 0.796
Dy: 0.115 0.230 0.721
Dy: 0.115 0.230 0.296
Dy: 0.885 0.770 0.221
Tm: 0.384 0.767 0.008
Tm: 0.711 0.421 0.807
Tm: 0.500 0.000 0.758
Tm: 0.290 0.579 0.709
Tm: 0.987 0.974 0.508
Tm: 0.616 0.233 0.508
Tm: 0.289 0.579 0.307
Tm: 0.500 0.000 0.258
Tm: 0.710 0.421 0.209
Tm: 0.013 0.026 0.008
Mg: 0.595 0.190 0.007
Mg: 0.405 0.810 0.507